Entry 1:
Below is ZnFeAsIr after structural relaxation, with properties calculated at the PBE level.

Results
As for the symmetry: No. 216. The calculation puts the energy above the most stable polymorph in this dataset at 142 meV/atom. The volume comes out at 58 Å³/cell.

Unit cell a=4.3472 b=4.3472 c=4.3472 alpha=60.00 beta=60.00 gamma=60.00
Last column: nearest neighbours and their distance in Å.
Fractional coordinates of all 4 atoms:
Zn  0.2500  0.2500  0.2500  4 As 2.66, 4 Ir 2.66
Ir  0.5000  0.5000  0.5000  4 Fe 2.66, 4 Zn 2.66
As  0.0000  0.0000  0.0000  4 Fe 2.66, 4 Zn 2.66
Fe  0.7500  0.7500  0.7500  4 As 2.66, 4 Ir 2.66



Entry 2:
Below is ZnFeAsIr after structural relaxation, with properties calculated at the PBE level.

Results
As for the symmetry: No. 216. The calculation puts the energy above the most stable polymorph in this dataset at 0 meV/atom. The volume comes out at 53 Å³/cell.

Unit cell a=4.2266 b=4.2266 c=4.2266 alpha=60.00 beta=60.00 gamma=60.00
Last column: nearest neighbours and their distance in Å.
Fractional coordinates of all 4 atoms:
Zn  0.5000  0.5000  0.5000  4 Ir 2.59, 4 Fe 2.59
Ir  0.2500  0.2500  0.2500  4 Zn 2.59, 4 As 2.59
Fe  0.7500  0.7500  0.7500  4 Zn 2.59, 4 As 2.59
As  0.0000  0.0000  0.0000  4 Fe 2.59, 4 Ir 2.59



Entry 3:
Below is ZrFeAsIr after structural relaxation, with properties calculated at the PBE level.

Results
As for the symmetry: No. 216. The calculation puts the energy above the most stable polymorph in this dataset at 0 meV/atom. The volume comes out at 63 Å³/cell.

Unit cell a=4.4695 b=4.4695 c=4.4695 alpha=60.00 beta=60.00 gamma=60.00
Last column: nearest neighbours and their distance in Å.
Fractional coordinates of all 4 atoms:
As  0.0000  0.0000  0.0000  4 Fe 2.74, 4 Ir 2.74
Fe  0.7500  0.7500  0.7500  4 As 2.74, 4 Zr 2.74
Ir  0.2500  0.2500  0.2500  4 As 2.74, 4 Zr 2.74
Zr  0.5000  0.5000  0.5000  4 Ir 2.74, 4 Fe 2.74



Entry 4:
Below is ZrFeAsIr after structural relaxation, with properties calculated at the PBE level.

Results
As for the symmetry: No. 216. The calculation puts the energy above the most stable polymorph in this dataset at 72 meV/atom. The volume comes out at 65 Å³/cell.

Unit cell a=4.5202 b=4.5202 c=4.5202 alpha=60.00 beta=60.00 gamma=60.00
Last column: nearest neighbours and their distance in Å.
Fractional coordinates of all 4 atoms:
Zr  0.2500  0.2500  0.2500  4 As 2.77, 4 Ir 2.77
Ir  0.5000  0.5000  0.5000  4 Fe 2.77, 4 Zr 2.77
As  0.0000  0.0000  0.0000  4 Zr 2.77, 4 Fe 2.77
Fe  0.7500  0.7500  0.7500  4 As 2.77, 4 Ir 2.77



Entry 5:
Below is KFe3As5 after structural relaxation, with properties calculated at the PBE level.

Results
As for the symmetry: No. 191. The total DFT energy (no corrections) comes out at -5.64 eV/atom. The volume comes out at 181 Å³/cell.

Unit cell a=5.0517 b=5.0517 c=8.2055 alpha=90.00 beta=90.00 gamma=120.00
Last column: nearest neighbours and their distance in Å.
Fractional coordinates of all 9 atoms:
As  0.0000  0.0000  0.5000  6 Fe 2.53
K  0.0000  0.0000  0.0000  12 As 3.60
As  0.6667  0.3333  0.2570  3 Fe 2.47
As  0.3333  0.6667  0.2570  3 Fe 2.47
As  0.3333  0.6667  0.7430  3 Fe 2.47
Fe  0.0000  0.5000  0.5000  6 As 2.47-2.53, 4 Fe 2.53
Fe  0.5000  0.5000  0.5000  6 As 2.47-2.53, 4 Fe 2.53
As  0.6667  0.3333  0.7430  3 Fe 2.47
Fe  0.5000  0.0000  0.5000  6 As 2.47-2.53, 4 Fe 2.53



Entry 6:
Below is KFe2As2 after structural relaxation, with properties calculated at the PBE level.

Results
As for the symmetry: No. 139. The total DFT energy (no corrections) comes out at -5.70 eV/atom. The volume comes out at 98 Å³/cell.

Unit cell a=7.4112 b=7.4112 c=7.4112 alpha=150.61 beta=150.61 gamma=42.05
Last column: nearest neighbours and their distance in Å.
Fractional coordinates of all 5 atoms:
K  0.0000  0.0000  0.0000  8 As 3.37, 4 K 3.76
Fe  0.7500  0.2500  0.5000  4 As 2.34
As  0.3501  0.3501  0.0000  4 Fe 2.34
As  0.6499  0.6499  0.0000  4 Fe 2.34
Fe  0.2500  0.7500  0.5000  4 As 2.34



Entry 7:
Below is KZn2Fe2As3 after structural relaxation, with properties calculated at the PBE level.

Results
As for the symmetry: No. 166. The total DFT energy (no corrections) comes out at -4.43 eV/atom. The volume comes out at 165 Å³/cell.

Unit cell a=11.3153 b=11.3153 c=11.3153 alpha=21.13 beta=21.13 gamma=21.13
Last column: nearest neighbours and their distance in Å.
Fractional coordinates of all 8 atoms:
As  0.7608  0.7608  0.7608  3 Zn 2.44, 1 Fe 2.51
Zn  0.0805  0.0805  0.0805  4 As 2.44-2.67
Zn  0.9195  0.9195  0.9195  4 As 2.44-2.67
As  0.2392  0.2392  0.2392  3 Zn 2.44, 1 Fe 2.51
K  0.5000  0.5000  0.5000  6 As 3.39, 6 Zn 3.73
As  0.0000  0.0000  0.0000  6 Fe 2.47, 2 Zn 2.67
Fe  0.6852  0.6852  0.6852  4 As 2.47-2.51, 3 Fe 2.69
Fe  0.3148  0.3148  0.3148  4 As 2.47-2.51, 3 Fe 2.69



Entry 8:
Below is LaFe2AsN after structural relaxation, with properties calculated at the PBE level.

Results
As for the symmetry: No. 63. The total DFT energy (no corrections) comes out at -7.60 eV/atom. The volume comes out at 148 Å³/cell.

Unit cell a=5.8336 b=5.8336 c=7.1100 alpha=90.00 beta=90.00 gamma=142.36
Last column: nearest neighbours and their distance in Å.
Fractional coordinates of all 10 atoms:
Fe  0.8311  0.1689  0.4454  1 N 1.90
Fe  0.8311  0.1689  0.0546  1 N 1.90
Fe  0.1689  0.8311  0.9454  1 N 1.90
As  0.7326  0.2674  0.7500  6 Fe 2.42-2.44
Fe  0.1689  0.8311  0.5546  1 N 1.90
As  0.2674  0.7326  0.2500  6 Fe 2.42-2.44
La  0.5402  0.4598  0.2500  4 N 2.63
N  0.0000  0.0000  0.0000  2 Fe 1.90
N  0.0000  0.0000  0.5000  2 Fe 1.90
La  0.4598  0.5402  0.7500  4 N 2.63



Entry 9:
Below is LaFe2SbAs after structural relaxation, with properties calculated at the PBE level.

Results
As for the symmetry: No. 129. The total DFT energy (no corrections) comes out at -6.55 eV/atom. The volume comes out at 191 Å³/cell.

Unit cell a=4.3347 b=4.3347 c=10.1696 alpha=90.00 beta=90.00 gamma=90.00
Last column: nearest neighbours and their distance in Å.
Fractional coordinates of all 10 atoms:
As  0.0000  0.0000  0.0000  4 Fe 2.39
Fe  0.5000  0.0000  0.9010  4 As 2.39, 1 Sb 2.53
Fe  0.5000  0.5000  0.5000  4 Sb 2.66
Fe  0.0000  0.5000  0.0990  4 As 2.39, 1 Sb 2.53
La  0.5000  0.0000  0.2243  4 As 3.15, 5 Fe 3.29-3.32, 4 Sb 3.31
Sb  0.0000  0.5000  0.3482  5 Fe 2.53-2.66
La  0.0000  0.5000  0.7758  4 As 3.15, 5 Fe 3.29-3.32, 4 Sb 3.31
Sb  0.5000  0.0000  0.6518  5 Fe 2.53-2.66
As  0.5000  0.5000  0.0000  4 Fe 2.39
Fe  0.0000  0.0000  0.5000  4 Sb 2.66



Entry 10:
Below is LiLuFeAs after structural relaxation, with properties calculated at the PBE level.

Results
As for the symmetry: No. 216. The calculation puts the energy above the most stable polymorph in this dataset at 0 meV/atom. The volume comes out at 58 Å³/cell.

Unit cell a=4.3475 b=4.3475 c=4.3475 alpha=60.00 beta=60.00 gamma=60.00
Last column: nearest neighbours and their distance in Å.
Fractional coordinates of all 4 atoms:
Lu  0.5000  0.5000  0.5000  4 Fe 2.66, 4 Li 2.66
Fe  0.7500  0.7500  0.7500  4 Lu 2.66, 4 As 2.66
Li  0.2500  0.2500  0.2500  4 As 2.66, 4 Lu 2.66
As  0.0000  0.0000  0.0000  4 Li 2.66, 4 Fe 2.66



Entry 11:
Below is LiLuFeAs after structural relaxation, with properties calculated at the PBE level.

Results
As for the symmetry: No. 216. The calculation puts the energy above the most stable polymorph in this dataset at 115 meV/atom. The volume comes out at 62 Å³/cell.

Unit cell a=4.4490 b=4.4490 c=4.4490 alpha=60.00 beta=60.00 gamma=60.00
Last column: nearest neighbours and their distance in Å.
Fractional coordinates of all 4 atoms:
Lu  0.2500  0.2500  0.2500  4 Li 2.72, 4 As 2.72
As  0.0000  0.0000  0.0000  4 Lu 2.72, 4 Fe 2.72
Li  0.5000  0.5000  0.5000  4 Lu 2.72, 4 Fe 2.72
Fe  0.7500  0.7500  0.7500  4 Li 2.72, 4 As 2.72



Entry 12:
Below is LiMgFeAs after structural relaxation, with properties calculated at the PBE level.

Results
As for the symmetry: No. 216. The calculation puts the energy above the most stable polymorph in this dataset at 75 meV/atom. The volume comes out at 57 Å³/cell.

Unit cell a=4.3080 b=4.3080 c=4.3080 alpha=60.00 beta=60.00 gamma=60.00
Last column: nearest neighbours and their distance in Å.
Fractional coordinates of all 4 atoms:
As  0.2500  0.2500  0.2500  4 Mg 2.64, 4 Fe 2.64
Li  0.7500  0.7500  0.7500  4 Fe 2.64, 4 Mg 2.64
Fe  0.0000  0.0000  0.0000  4 Li 2.64, 4 As 2.64
Mg  0.5000  0.5000  0.5000  4 As 2.64, 4 Li 2.64



Entry 13:
Below is LiMgFeAs after structural relaxation, with properties calculated at the PBE level.

Results
As for the symmetry: No. 216. The calculation puts the energy above the most stable polymorph in this dataset at 0 meV/atom. The volume comes out at 55 Å³/cell.

Unit cell a=4.2675 b=4.2675 c=4.2675 alpha=60.00 beta=60.00 gamma=60.00
Last column: nearest neighbours and their distance in Å.
Fractional coordinates of all 4 atoms:
Fe  0.7500  0.7500  0.7500  4 Mg 2.61, 4 As 2.61
Li  0.2500  0.2500  0.2500  4 Mg 2.61, 4 As 2.61
Mg  0.5000  0.5000  0.5000  4 Fe 2.61, 4 Li 2.61
As  0.0000  0.0000  0.0000  4 Fe 2.61, 4 Li 2.61



Entry 14:
Below is LiNbFeAs after structural relaxation, with properties calculated at the PBE level.

Results
As for the symmetry: No. 216. The calculation puts the energy above the most stable polymorph in this dataset at 209 meV/atom. The volume comes out at 55 Å³/cell.

Unit cell a=4.2631 b=4.2631 c=4.2631 alpha=60.00 beta=60.00 gamma=60.00
Last column: nearest neighbours and their distance in Å.
Fractional coordinates of all 4 atoms:
Nb  0.2500  0.2500  0.2500  4 Li 2.61, 4 As 2.61
Li  0.5000  0.5000  0.5000  4 Fe 2.61, 4 Nb 2.61
As  0.0000  0.0000  0.0000  4 Fe 2.61, 4 Nb 2.61
Fe  0.7500  0.7500  0.7500  4 Li 2.61, 4 As 2.61



Entry 15:
Below is LiNbFeAs after structural relaxation, with properties calculated at the PBE level.

Results
As for the symmetry: No. 216. The calculation puts the energy above the most stable polymorph in this dataset at 0 meV/atom. The volume comes out at 52 Å³/cell.

Unit cell a=4.1879 b=4.1879 c=4.1879 alpha=60.00 beta=60.00 gamma=60.00
Last column: nearest neighbours and their distance in Å.
Fractional coordinates of all 4 atoms:
As  0.0000  0.0000  0.0000  4 Fe 2.56, 4 Li 2.56
Li  0.2500  0.2500  0.2500  4 As 2.56, 4 Nb 2.56
Fe  0.7500  0.7500  0.7500  4 As 2.56, 4 Nb 2.56
Nb  0.5000  0.5000  0.5000  4 Fe 2.56, 4 Li 2.56



Entry 16:
Below is LiFeNiAs after structural relaxation, with properties calculated at the PBE level.

Results
As for the symmetry: No. 216. The calculation puts the energy above the most stable polymorph in this dataset at 42 meV/atom. The volume comes out at 47 Å³/cell.

Unit cell a=4.0641 b=4.0641 c=4.0641 alpha=60.00 beta=60.00 gamma=60.00
Last column: nearest neighbours and their distance in Å.
Fractional coordinates of all 4 atoms:
Li  0.2500  0.2500  0.2500  4 Ni 2.49, 4 As 2.49
Fe  0.7500  0.7500  0.7500  4 As 2.49, 4 Ni 2.49
As  0.0000  0.0000  0.0000  4 Fe 2.49, 4 Li 2.49
Ni  0.5000  0.5000  0.5000  4 Li 2.49, 4 Fe 2.49



Entry 17:
Below is LiFeNiAs after structural relaxation, with properties calculated at the PBE level.

Results
As for the symmetry: No. 216. The calculation puts the energy above the most stable polymorph in this dataset at 0 meV/atom. The volume comes out at 44 Å³/cell.

Unit cell a=3.9620 b=3.9620 c=3.9620 alpha=60.00 beta=60.00 gamma=60.00
Last column: nearest neighbours and their distance in Å.
Fractional coordinates of all 4 atoms:
Fe  0.0000  0.0000  0.0000  4 As 2.43, 4 Li 2.43
As  0.2500  0.2500  0.2500  4 Ni 2.43, 4 Fe 2.43
Ni  0.5000  0.5000  0.5000  4 Li 2.43, 4 As 2.43
Li  0.7500  0.7500  0.7500  4 Ni 2.43, 4 Fe 2.43



Entry 18:
Below is LiFeAsOs after structural relaxation, with properties calculated at the PBE level.

Results
As for the symmetry: No. 216. The calculation puts the energy above the most stable polymorph in this dataset at 130 meV/atom. The volume comes out at 50 Å³/cell.

Unit cell a=4.1454 b=4.1454 c=4.1454 alpha=60.00 beta=60.00 gamma=60.00
Last column: nearest neighbours and their distance in Å.
Fractional coordinates of all 4 atoms:
As  0.0000  0.0000  0.0000  4 Li 2.54, 4 Fe 2.54
Fe  0.7500  0.7500  0.7500  4 Os 2.54, 4 As 2.54
Li  0.2500  0.2500  0.2500  4 As 2.54, 4 Os 2.54
Os  0.5000  0.5000  0.5000  4 Fe 2.54, 4 Li 2.54



Entry 19:
Below is LiFeAsOs after structural relaxation, with properties calculated at the PBE level.

Results
As for the symmetry: No. 216. The calculation puts the energy above the most stable polymorph in this dataset at 0 meV/atom. The volume comes out at 48 Å³/cell.

Unit cell a=4.0823 b=4.0823 c=4.0823 alpha=60.00 beta=60.00 gamma=60.00
Last column: nearest neighbours and their distance in Å.
Fractional coordinates of all 4 atoms:
Li  0.5000  0.5000  0.5000  4 Os 2.50, 4 Fe 2.50
Fe  0.7500  0.7500  0.7500  4 As 2.50, 4 Li 2.50
As  0.0000  0.0000  0.0000  4 Fe 2.50, 4 Os 2.50
Os  0.2500  0.2500  0.2500  4 Li 2.50, 4 As 2.50



Entry 20:
Below is LiFeAsPd after structural relaxation, with properties calculated at the PBE level.

Results
As for the symmetry: No. 216. The calculation puts the energy above the most stable polymorph in this dataset at 11 meV/atom. The volume comes out at 53 Å³/cell.

Unit cell a=4.2214 b=4.2214 c=4.2214 alpha=60.00 beta=60.00 gamma=60.00
Last column: nearest neighbours and their distance in Å.
Fractional coordinates of all 4 atoms:
Li  0.5000  0.5000  0.5000  4 Fe 2.59, 4 Pd 2.59
Fe  0.7500  0.7500  0.7500  4 Li 2.59, 4 As 2.59
Pd  0.2500  0.2500  0.2500  4 As 2.59, 4 Li 2.59
As  0.0000  0.0000  0.0000  4 Fe 2.59, 4 Pd 2.59